YHo2Rh | PBE-GGA | optimized geometry

a = 3.818 Å, b = 3.818 Å, c = 9.334 Å
α = 78.20°, β = 78.20°, γ = 60.00°
Positions (direct):
Y 0.501 0.501 0.496
Ho 0.059 0.059 0.822
Ho 0.273 0.273 0.180
Rh 0.666 0.666 0.002

- energy of formation from the pure elements (meV per atom) = -353
- polymorph energy (0 for the lowest one) (kJ/mol of formula units) = 70
- final energy (eV per atom) = -6.10
- space group = No. 160